Density functional theory data (PBE) for an optimized crystal structure of Ag2H2IOF.

a b c (Å): 4.927 7.862 6.526
angles (deg): 90.00 90.52 90.00
Space group P2_1 (No. 4)
Inequivalent atoms, fractional coordinates:
Ag: 0.000 0.000 0.215 [2 per cell]
Ag: 0.009 0.995 0.784 [2 per cell]
H: 0.299 0.784 0.499 [2 per cell]
H: 0.453 0.971 0.500 [2 per cell]
I: 0.310 0.251 0.002 [2 per cell]
O: 0.272 0.911 0.499 [2 per cell]
F: 0.285 0.583 0.500 [2 per cell]

Output
E_tot = -3.809 eV/atom


Density functional theory data (PBE) for an optimized crystal structure of InSiAg2.

a b c (Å): 5.942 8.707 2.933
angles (deg): 90.00 90.00 90.00
Space group Cmmm (No. 65)
Inequivalent atoms, fractional coordinates:
In: 0.000 0.000 0.000 [2 per cell]
Si: 0.000 0.500 0.000 [2 per cell]
Ag: 0.250 0.250 0.500 [4 per cell]

Output
raw formation energy = 245 meV/atom


Density functional theory data (PBE) for an optimized crystal structure of CaSnTe2.

a b c (Å): 4.532 4.532 6.398
angles (deg): 90.00 90.00 90.00
Space group P4/mmm (No. 123)
Inequivalent atoms, fractional coordinates:
Ca: 0.000 0.000 0.000 [1 per cell]
Sn: 0.500 0.500 0.500 [1 per cell]
Te: 0.000 0.000 0.500 [1 per cell]
Te: 0.500 0.500 0.000 [1 per cell]

Output
raw formation energy = -968 meV/atom


Density functional theory data (PBE) for an optimized crystal structure of Be2AlAg.

a b c (Å): 3.029 4.427 7.915
angles (deg): 90.00 90.00 90.00
Space group Cmm2 (No. 35)
Inequivalent atoms, fractional coordinates:
Be: 0.000 0.000 0.000 [2 per cell]
Be: 0.000 0.500 0.201 [2 per cell]
Al: 0.000 0.500 0.754 [2 per cell]
Ag: 0.000 0.000 0.452 [2 per cell]

Output
E_form = 31.7 kJ/mol of atoms


Density functional theory data (PBE) for an optimized crystal structure of ZrBr2Cl.

a b c (Å): 5.576 9.362 3.550
angles (deg): 90.00 90.00 90.00
Space group Cmmm (No. 65)
Inequivalent atoms, fractional coordinates:
Zr: 0.000 0.000 0.000 [2 per cell]
Br: 0.250 0.250 0.500 [4 per cell]
Cl: 0.000 0.500 0.000 [2 per cell]

Output
raw formation energy = -322 meV/atom


Density functional theory data (PBE) for an optimized crystal structure of LiLa2PrS4.

a b c (Å): 7.008 4.112 7.135
angles (deg): 90.00 109.73 90.00
Space group P2/m (No. 10)
Inequivalent atoms, fractional coordinates:
Li: 0.000 0.000 0.000 [1 per cell]
La: 0.500 0.000 0.500 [1 per cell]
La: 0.500 0.500 0.000 [1 per cell]
Pr: 0.000 0.500 0.500 [1 per cell]
S: 0.242 0.500 0.242 [2 per cell]
S: 0.243 0.000 0.755 [2 per cell]

Output
raw formation energy = -1960 meV/atom


Density functional theory data (PBE) for an optimized crystal structure of Al2AgGeS.

a b c (Å): 4.910 4.910 4.812
angles (deg): 90.00 90.00 90.00
Space group P4/mmm (No. 123)
Inequivalent atoms, fractional coordinates:
Al: 0.000 0.500 0.000 [2 per cell]
Ag: 0.000 0.000 0.500 [1 per cell]
Ge: 0.000 0.000 0.000 [1 per cell]
S: 0.500 0.500 0.500 [1 per cell]

Output
raw formation energy = 490 meV/atom


Density functional theory data (PBE) for an optimized crystal structure of TbDy2Ho.

a b c (Å): 5.000 5.000 5.000
angles (deg): 90.00 90.00 90.00
Space group P4/mmm (No. 123)
Inequivalent atoms, fractional coordinates:
Tb: 0.000 0.000 0.000 [1 per cell]
Dy: 0.000 0.500 0.500 [2 per cell]
Ho: 0.500 0.500 0.000 [1 per cell]

Output
E_form = 1.9 kJ/mol of atoms


Density functional theory data (PBE) for an optimized crystal structure of TbGdMn2.

a b c (Å): 7.094 7.094 7.094
angles (deg): 90.00 90.00 90.00
Space group Fm-3m (No. 225)
Inequivalent atoms, fractional coordinates:
Tb: 0.000 0.000 0.000 [4 per cell]
Gd: 0.000 0.000 0.500 [4 per cell]
Mn: 0.250 0.250 0.250 [8 per cell]

Output
E_form = 22.2 kJ/mol of atoms


Density functional theory data (PBE) for an optimized crystal structure of Re2AgHg.

a b c (Å): 9.903 2.849 4.814
angles (deg): 90.00 100.08 90.00
Space group C2/m (No. 12)
Inequivalent atoms, fractional coordinates:
Re: 0.249 0.000 0.255 [4 per cell]
Ag: 0.000 0.000 0.500 [2 per cell]
Hg: 0.000 0.500 0.000 [2 per cell]

Output
E_form = 75.0 kJ/mol of atoms


Density functional theory data (PBE) for an optimized crystal structure of TaNiPd.

a b c (Å): 2.845 2.845 10.910
angles (deg): 90.00 90.00 90.00
Space group I4mm (No. 107)
Inequivalent atoms, fractional coordinates:
Ta: 0.000 0.000 0.000 [2 per cell]
Ni: 0.000 0.000 0.657 [2 per cell]
Pd: 0.000 0.000 0.319 [2 per cell]

Output
E_form = -21.8 kJ/mol of atoms


Density functional theory data (PBE) for an optimized crystal structure of MnIn2Te.

a b c (Å): 6.301 10.139 3.137
angles (deg): 90.00 90.00 90.00
Space group Cmmm (No. 65)
Inequivalent atoms, fractional coordinates:
Mn: 0.000 0.000 0.000 [2 per cell]
In: 0.250 0.250 0.500 [4 per cell]
Te: 0.000 0.500 0.000 [2 per cell]

Output
raw formation energy = 295 meV/atom


Density functional theory data (PBE) for an optimized crystal structure of VBiSe2N.

a b c (Å): 5.470 5.470 4.175
angles (deg): 90.00 90.00 90.00
Space group P4/mmm (No. 123)
Inequivalent atoms, fractional coordinates:
V: 0.000 0.000 0.000 [1 per cell]
Bi: 0.500 0.500 0.500 [1 per cell]
Se: 0.000 0.500 0.500 [2 per cell]
N: 0.500 0.500 0.000 [1 per cell]

Output
raw formation energy = 1425 meV/atom


Density functional theory data (PBE) for an optimized crystal structure of Cr2CuBr.

a b c (Å): 3.4098 3.4098 21.8885
angles (deg): 90.00 90.00 120.00
Space group R-3m (No. 166, hexagonal axes)
Inequivalent atoms, fractional coordinates:
Cr: 0.0000 0.0000 0.2415 [6 per cell]
Cu: 0.0000 0.0000 0.5000 [3 per cell]
Br: 0.0000 0.0000 0.0000 [3 per cell]

Output
raw formation energy = 588 meV/atom


Density functional theory data (PBE) for an optimized crystal structure of LiYAgHg.

a b c (Å): 7.036 7.036 7.036
angles (deg): 90.00 90.00 90.00
Space group F-43m (No. 216)
Inequivalent atoms, fractional coordinates:
Li: 0.000 0.000 0.000 [4 per cell]
Y: 0.000 0.000 0.500 [4 per cell]
Ag: 0.250 0.250 0.750 [4 per cell]
Hg: 0.250 0.250 0.250 [4 per cell]

Output
E_form = -31.2 kJ/mol of atoms


Density functional theory data (PBE) for an optimized crystal structure of K5Mn.

a b c (Å): 11.405 11.405 11.405
angles (deg): 90.00 90.00 90.00
Space group F-43m (No. 216)
Inequivalent atoms, fractional coordinates:
K: 0.000 0.000 0.000 [4 per cell]
K: 0.124 0.124 0.624 [16 per cell]
Mn: 0.250 0.250 0.250 [4 per cell]

Output
E_form = 53.4 kJ/mol of atoms


Density functional theory data (PBE) for an optimized crystal structure of SrPAu.

a b c (Å): 4.3664 4.3664 12.8852
angles (deg): 90.00 90.00 120.00
Space group P-6m2 (No. 187)
Inequivalent atoms, fractional coordinates:
Sr: 0.0000 0.0000 0.0000 [1 per cell]
Sr: 0.0000 0.0000 0.3341 [2 per cell]
P: 0.3333 0.6667 0.5000 [1 per cell]
P: 0.6667 0.3333 0.1700 [2 per cell]
Au: 0.3333 0.6667 0.1652 [2 per cell]
Au: 0.6667 0.3333 0.5000 [1 per cell]

Output
E_form = -87.2 kJ/mol of atoms


Density functional theory data (PBE) for an optimized crystal structure of CaAl3Si.

a b c (Å): 5.468 5.468 5.468
angles (deg): 90.00 90.00 90.00
Space group Pm-3m (No. 221)
Inequivalent atoms, fractional coordinates:
Ca: 0.000 0.000 0.000 [1 per cell]
Al: 0.000 0.000 0.500 [3 per cell]
Si: 0.500 0.500 0.500 [1 per cell]

Output
raw formation energy = 1507 meV/atom


Density functional theory data (PBE) for an optimized crystal structure of Li3MgBi2.

a b c (Å): 3.796 9.121 7.962
angles (deg): 90.00 90.00 90.00
Space group Pmc2_1 (No. 26)
Inequivalent atoms, fractional coordinates:
Li: 0.000 0.093 0.000 [2 per cell]
Li: 0.000 0.333 0.444 [2 per cell]
Li: 0.500 0.165 0.668 [2 per cell]
Mg: 0.500 0.406 0.117 [2 per cell]
Bi: 0.000 0.378 0.808 [2 per cell]
Bi: 0.500 0.123 0.304 [2 per cell]

Output
E_form = -39.4 kJ/mol of atoms


Density functional theory data (PBE) for an optimized crystal structure of Tm4ZrSc6.

a b c (Å): 8.399 8.399 8.165
angles (deg): 90.00 90.00 90.00
Space group P4/mnc (No. 128)
Inequivalent atoms, fractional coordinates:
Tm: 0.149 0.351 0.250 [8 per cell]
Zr: 0.000 0.000 0.000 [2 per cell]
Sc: 0.000 0.000 0.332 [4 per cell]
Sc: 0.149 0.652 0.500 [8 per cell]

Output
E_form = 11.8 kJ/mol of atoms


Density functional theory data (PBE) for an optimized crystal structure of Re2TcPt.

a b c (Å): 2.747 3.950 5.540
angles (deg): 90.00 90.00 90.00
Space group Pmm2 (No. 25)
Inequivalent atoms, fractional coordinates:
Re: 0.000 0.000 0.000 [1 per cell]
Re: 0.500 0.500 0.236 [1 per cell]
Tc: 0.500 0.500 0.771 [1 per cell]
Pt: 0.000 0.000 0.503 [1 per cell]

Output
E_form = -5.1 kJ/mol of atoms


Density functional theory data (PBE) for an optimized crystal structure of ReP2Pb.

a b c (Å): 8.158 3.212 6.479
angles (deg): 90.00 105.63 90.00
Space group Cm (No. 8)
Inequivalent atoms, fractional coordinates:
Re: 0.000 0.000 0.000 [2 per cell]
P: 0.297 0.000 0.037 [2 per cell]
P: 0.442 0.000 0.718 [2 per cell]
Pb: 0.149 0.500 0.426 [2 per cell]

Output
E_form = 2.8 kJ/mol of atoms


Density functional theory data (PBE) for an optimized crystal structure of Fe2P.

a b c (Å): 6.632 6.632 6.632
angles (deg): 90.00 90.00 90.00
Space group Fd-3m (No. 227, origin choice 2)
Inequivalent atoms, fractional coordinates:
Fe: 0.000 0.000 0.000 [16 per cell]
P: 0.125 0.125 0.625 [8 per cell]

Output
E_form = 36.0 kJ/mol of atoms


Density functional theory data (PBE) for an optimized crystal structure of LiPr2Ga3Ni4.

a b c (Å): 4.110 4.110 10.220
angles (deg): 90.00 90.00 90.00
Space group P-4m2 (No. 115)
Inequivalent atoms, fractional coordinates:
Li: 0.000 0.000 0.000 [1 per cell]
Pr: 0.000 0.500 0.746 [2 per cell]
Ga: 0.000 0.500 0.377 [2 per cell]
Ga: 0.500 0.500 0.000 [1 per cell]
Ni: 0.000 0.000 0.500 [1 per cell]
Ni: 0.000 0.500 0.137 [2 per cell]
Ni: 0.500 0.500 0.500 [1 per cell]

Output
E_form = -43.4 kJ/mol of atoms


Number 1: mass density 4988 kg/m³. Number 2: mass density 7848 kg/m³. Number 3: mass density 5232 kg/m³. Number 4: mass density 4783 kg/m³. Number 5: mass density 5134 kg/m³. Number 6: mass density 4753 kg/m³. Number 7: mass density 3815 kg/m³. Number 8: mass density 8619 kg/m³. Number 9: mass density 7928 kg/m³. Number 10: mass density 16909 kg/m³. Number 11: mass density 13011 kg/m³. Number 12: mass density 6830 kg/m³. Number 13: mass density 5740 kg/m³. Number 14: mass density 5590 kg/m³. Number 15: mass density 7709 kg/m³. Number 16: mass density 1121 kg/m³. Number 17: mass density 7389 kg/m³. Number 18: mass density 1515 kg/m³. Number 19: mass density 5579 kg/m³. Number 20: mass density 5978 kg/m³. Number 21: mass density 18388 kg/m³. Number 22: mass density 9250 kg/m³. Number 23: mass density 6497 kg/m³. Number 24: mass density 7048 kg/m³.